This record from the Alexandria database describes a relaxed structure of LiMg6Cd12. The functional is PBE.

extended XYZ file:
```
19
Lattice="7.4694 0.3574 0.4282 -0.7791 7.4372 0.4282 -0.7791 -0.9077 7.3940" Properties=species:S:1:pos:R:3 pbc="T T T"
Li 0.0000 0.0000 0.0000
Mg 4.5207 6.5826 2.6339
Mg 5.1977 2.2040 1.3031
Mg 0.0901 5.2723 2.4013
Mg 1.3905 0.3044 5.6166
Mg 0.7135 4.6830 6.9473
Mg 5.8212 1.6147 5.8491
Cd 5.2073 3.8305 3.8792
Cd 2.3067 5.6220 4.4620
Cd 2.9967 2.7933 6.3289
Cd 0.7039 3.0565 4.3712
Cd 3.6046 1.2650 3.7884
Cd 2.9145 4.0937 1.9216
Cd -0.0749 0.7126 2.7812
Cd 5.1955 4.1566 7.7200
Cd 3.3209 6.5655 7.0523
Cd 5.9861 6.1744 5.4692
Cd 0.7157 2.7304 0.5304
Cd 2.5903 0.3215 1.1981
```

## Properties
As for the calculated formation energy: -0.078 eV/atom. The calculation puts the total magnetic moment at 0.000 μB per atom. The value obtained for the density of states at the Fermi level is 6.1 states/eV/cell.